[1]
This record from OQMD describes a relaxed Al2PdI4Br4 crystal. The functional is PBE.

- ρ (kg/m3) = 3550
- E above lowest polymorph (eV/f.u.) = 0.82
- electronic total energy (eV/f.u.) = -32.99

POSCAR file:
```
Al2PdI4Br4
1.0
6.6760 -4.5020 0.0000
6.6760 4.5020 0.0000
-1.2165 0.0000 7.6856
Al Pd I Br
2 1 4 4
Cartesian
2.4561 0.0000 2.4415 Al
9.6793 0.0000 5.2441 Al
0.0000 0.0000 0.0000 Pd
1.7702 0.0000 4.8552 I
4.9029 0.0000 1.9752 I
7.2326 0.0000 5.7104 I
10.3653 0.0000 2.8304 I
4.1549 2.7699 6.4704 Br
7.9806 2.7699 1.2152 Br
4.1549 -2.7699 6.4704 Br
7.9806 -2.7699 1.2152 Br
```

[2]
This record from OQMD describes a relaxed Al2PtI6Br2 crystal. The functional is PBE.

- ρ (kg/m3) = 3851
- electronic total energy (eV/f.u.) = -32.92

POSCAR file:
```
Al2PtI6Br2
1.0
6.9591 -4.7043 0.0000
6.9591 4.7043 0.0000
-0.8904 0.0000 7.7063
Al Pt I Br
2 1 6 2
Cartesian
2.7093 0.0000 2.5912 Al
10.3185 0.0000 5.1151 Al
0.0000 0.0000 0.0000 Pt
4.6614 2.8497 6.4765 I
8.3664 2.8497 1.2298 I
5.1642 0.0000 2.1341 I
7.8636 0.0000 5.5722 I
4.6614 -2.8497 6.4765 I
8.3664 -2.8497 1.2298 I
2.1266 0.0000 4.8016 Br
10.9012 0.0000 2.9047 Br
```

[3]
This record from OQMD describes a relaxed K2AlNiBr6 crystal. The functional is PBE.

- ρ (kg/m3) = 3846
- electronic total energy (eV/f.u.) = -31.98

POSCAR file:
```
K2AlNiBr6
1.0
0.0000 5.1787 5.1787
5.1787 0.0000 5.1787
5.1787 5.1787 0.0000
K Al Ni Br
2 1 1 6
Cartesian
2.5893 2.5893 2.5893 K
7.7680 7.7680 7.7680 K
0.0000 0.0000 0.0000 Al
5.1787 5.1787 5.1787 Ni
5.1787 5.1787 2.5671 Br
5.1787 2.5671 5.1787 Br
7.7903 5.1787 5.1787 Br
2.5671 5.1787 5.1787 Br
5.1787 7.7903 5.1787 Br
5.1787 5.1787 7.7903 Br
```

[4]
This record from OQMD describes a relaxed K2AlZnBr6 crystal. The functional is PBE.

- ρ (kg/m3) = 3586
- electronic total energy (eV/f.u.) = -28.70

POSCAR file:
```
K2AlZnBr6
1.0
0.0000 5.3192 5.3192
5.3192 0.0000 5.3192
5.3192 5.3192 0.0000
K Al Zn Br
2 1 1 6
Cartesian
2.6596 2.6596 2.6596 K
7.9787 7.9787 7.9787 K
0.0000 0.0000 0.0000 Al
5.3192 5.3192 5.3192 Zn
5.3192 5.3192 2.5753 Br
5.3192 2.5753 5.3192 Br
8.0630 5.3192 5.3192 Br
2.5753 5.3192 5.3192 Br
5.3192 8.0630 5.3192 Br
5.3192 5.3192 8.0630 Br
```

[5]
This record from OQMD describes a relaxed LaNd2AlBr3 crystal. The functional is PBE.

- ρ (kg/m3) = 5144
- electronic total energy (eV/f.u.) = -31.98

POSCAR file:
```
LaNd2AlBr3
1.0
6.0660 0.0000 0.0000
0.0000 6.0660 0.0000
0.0000 0.0000 6.0892
La Nd Al Br
1 2 1 3
Cartesian
0.0000 0.0000 0.0000 La
0.0000 3.0330 3.0446 Nd
3.0330 0.0000 3.0446 Nd
0.0000 0.0000 3.0446 Al
0.0000 3.0330 0.0000 Br
3.0330 0.0000 0.0000 Br
3.0330 3.0330 3.0446 Br
```

[6]
This record from OQMD describes a relaxed La2PrAlBr3 crystal. The functional is PBE.

- ρ (kg/m3) = 4934
- electronic total energy (eV/f.u.) = -32.39

POSCAR file:
```
La2PrAlBr3
1.0
6.1408 0.0000 0.0000
0.0000 6.1408 0.0000
0.0000 0.0000 6.1166
La Pr Al Br
2 1 1 3
Cartesian
0.0000 3.0704 0.0000 La
3.0704 0.0000 0.0000 La
0.0000 0.0000 3.0583 Pr
0.0000 0.0000 0.0000 Al
0.0000 3.0704 3.0583 Br
3.0704 0.0000 3.0583 Br
3.0704 3.0704 0.0000 Br
```

[7]
This record from OQMD describes a relaxed AlMoBr7 crystal. The functional is PBE.

- ρ (kg/m3) = 3407
- electronic total energy (eV/f.u.) = -32.76

POSCAR file:
```
AlMoBr7
1.0
7.0665 0.0000 0.0000
0.0000 6.2871 0.0000
-2.3810 0.0000 14.9688
Al Mo Br
2 2 14
Cartesian
0.0000 0.0951 0.0000 Al
-1.1905 6.1920 7.4844 Al
1.4421 2.6594 2.0625 Mo
0.2516 3.6277 9.5469 Mo
-1.1325 2.2543 7.4884 Br
0.0579 4.0328 0.0040 Br
-0.8558 2.2271 11.1774 Br
0.3347 4.0600 3.6929 Br
-0.2021 1.0207 14.9540 Br
0.9884 5.2664 7.4696 Br
2.4907 1.1644 3.6579 Br
1.3002 5.1227 11.1423 Br
2.2176 2.2710 9.1042 Br
3.4080 4.0161 1.6197 Br
3.4350 0.7918 13.2118 Br
4.6255 5.4953 5.7274 Br
6.2901 1.0418 2.0279 Br
5.0996 5.2453 9.5123 Br
```

[8]
This record from OQMD describes a relaxed NbAlBr8 crystal. The functional is PBE.

- ρ (kg/m3) = 3539
- electronic total energy (eV/f.u.) = -36.68

POSCAR file:
```
NbAlBr8
1.0
4.3557 -9.2071 0.0000
4.3557 9.2071 0.0000
0.0000 0.0000 8.8820
Nb Al Br
2 2 16
Cartesian
4.3557 7.1925 6.6615 Nb
4.3557 -7.1925 2.2205 Nb
4.3557 3.4294 6.6615 Al
4.3557 -3.4294 2.2205 Al
2.5444 4.9809 6.6615 Br
4.3557 6.7872 0.2281 Br
4.3557 6.7872 4.2130 Br
1.8828 0.5020 2.2205 Br
1.8828 -0.5020 6.6615 Br
4.3557 2.1801 4.7532 Br
4.3557 2.1801 8.5698 Br
6.1670 4.9809 6.6615 Br
2.5444 -4.9809 2.2205 Br
4.3557 -2.1801 0.3122 Br
4.3557 -2.1801 4.1288 Br
6.8286 0.5020 2.2205 Br
6.8286 -0.5020 6.6615 Br
4.3557 -6.7872 4.6691 Br
4.3557 -6.7872 8.6540 Br
6.1670 -4.9809 2.2205 Br
```

[9]
This record from OQMD describes a relaxed NdAl3Br12 crystal. The functional is PBE.

- ρ (kg/m3) = 3201
- electronic total energy (eV/f.u.) = -57.04

POSCAR file:
```
NdAl3Br12
1.0
10.6470 0.0000 0.0000
-5.3235 9.2205 0.0000
0.0000 0.0000 18.7726
Nd Al Br
3 9 36
Cartesian
-3.9043 6.7625 3.1288 Nd
1.4192 2.4581 9.3863 Nd
7.8086 0.0000 15.6438 Nd
-0.5179 0.8970 12.5151 Al
1.0358 0.0000 6.2575 Al
-0.1725 5.8739 4.1790 Al
-0.1503 6.4330 16.6941 Al
0.3228 6.1342 10.4365 Al
5.1732 2.7876 14.5936 Al
5.1510 3.3466 8.3361 Al
5.6462 3.0863 2.0786 Al
4.8056 8.3235 0.0000 Al
-0.9123 2.1575 14.4403 Br
-0.2971 1.8118 6.8538 Br
-2.2952 5.4344 5.2327 Br
-3.6059 8.5719 0.5963 Br
-2.3027 6.5977 15.9869 Br
1.7176 0.6486 11.9188 Br
-2.9989 8.9319 8.1827 Br
-1.4686 6.5689 11.7631 Br
-0.3354 4.7914 8.5814 Br
2.3246 0.2887 4.3324 Br
0.7611 3.9275 3.4718 Br
0.3690 4.6643 18.0206 Br
-1.0063 7.1154 2.3238 Br
1.7648 4.5157 11.4902 Br
3.0208 2.6229 15.3008 Br
1.3418 6.5344 14.8389 Br
3.0283 3.7862 7.2824 Br
1.0996 7.2080 5.5056 Br
3.8549 2.6517 0.7520 Br
0.5304 8.4911 17.7478 Br
4.3172 2.1052 10.1913 Br
1.5416 7.9159 9.7293 Br
5.8539 0.7295 13.5399 Br
4.9880 4.4292 3.9337 Br
6.4231 2.0126 7.0095 Br
6.8651 1.3047 2.7857 Br
3.9112 7.3517 1.9252 Br
6.6652 2.6862 16.4488 Br
5.6925 4.5563 13.2671 Br
4.4112 7.0631 16.8475 Br
3.9029 8.0574 13.1114 Br
6.0846 5.2930 9.0433 Br
5.0264 7.4087 5.6612 Br
7.0883 4.7049 1.0249 Br
9.2264 1.1632 18.1763 Br
9.2347 1.8688 10.5899 Br
```

[10]
This record from OQMD describes a relaxed Rb2AlNiBr6 crystal. The functional is PBE.

- ρ (kg/m3) = 4296
- electronic total energy (eV/f.u.) = -31.92

POSCAR file:
```
Rb2AlNiBr6
1.0
0.0000 5.2202 5.2202
5.2202 0.0000 5.2202
5.2202 5.2202 0.0000
Rb Al Ni Br
2 1 1 6
Cartesian
2.6101 2.6101 2.6101 Rb
7.8303 7.8303 7.8303 Rb
0.0000 0.0000 0.0000 Al
5.2202 5.2202 5.2202 Ni
5.2202 5.2202 2.5929 Br
5.2202 2.5929 5.2202 Br
7.8475 5.2202 5.2202 Br
2.5929 5.2202 5.2202 Br
5.2202 7.8475 5.2202 Br
5.2202 5.2202 7.8475 Br
```

[11]
This record from OQMD describes a relaxed Al3Os5Br crystal. The functional is PBE.

- ρ (kg/m3) = 12213
- electronic total energy (eV/f.u.) = -63.65

POSCAR file:
```
Al3Os5Br
1.0
6.6554 0.0000 0.0000
-3.3277 5.7637 0.0000
0.0000 0.0000 3.9414
Al Os Br
3 5 1
Cartesian
-1.7515 3.0336 0.0000 Al
1.5762 2.7301 0.0000 Al
3.5029 0.0000 0.0000 Al
-0.8890 1.5398 1.9707 Os
1.7780 0.0000 1.9707 Os
0.0000 3.8425 1.9707 Os
3.3277 1.9212 1.9707 Os
2.4387 4.2240 1.9707 Os
0.0000 0.0000 0.0000 Br
```

[12]
This record from OQMD describes a relaxed AlOsBr7 crystal. The functional is PBE.

- ρ (kg/m3) = 3961
- electronic total energy (eV/f.u.) = -30.99

POSCAR file:
```
AlOsBr7
1.0
7.0184 0.0000 0.0000
0.0000 6.2528 0.0000
-2.4617 0.0000 14.8362
Al Os Br
2 2 14
Cartesian
0.0000 0.0706 0.0000 Al
-1.2308 6.1822 7.4181 Al
1.3257 2.6243 1.9251 Os
0.0948 3.6285 9.3431 Os
-1.1914 2.2962 7.4112 Br
-2.4222 3.9566 14.8293 Br
-0.9187 2.2236 11.0165 Br
0.3121 4.0292 3.5985 Br
-0.3068 1.0565 14.8126 Br
0.9240 5.1963 7.3945 Br
2.4028 1.1967 3.5309 Br
1.1720 5.0561 10.9490 Br
2.0510 2.2366 9.0427 Br
3.2818 4.0162 1.6246 Br
3.3079 0.6799 13.0477 Br
4.5388 5.5729 5.6296 Br
6.2251 1.0590 2.0008 Br
4.9942 5.1938 9.4189 Br
```

Question: Look up the electronic total energy of the twelfth one.
Answer: -30.99 eV/f.u.

Question: Which value of ρ does entry 5 give?
Answer: 5144 kg/m3

Repeat the tenth record exactly.
This record from OQMD describes a relaxed Rb2AlNiBr6 crystal. The functional is PBE.

- ρ (kg/m3) = 4296
- electronic total energy (eV/f.u.) = -31.92

POSCAR file:
```
Rb2AlNiBr6
1.0
0.0000 5.2202 5.2202
5.2202 0.0000 5.2202
5.2202 5.2202 0.0000
Rb Al Ni Br
2 1 1 6
Cartesian
2.6101 2.6101 2.6101 Rb
7.8303 7.8303 7.8303 Rb
0.0000 0.0000 0.0000 Al
5.2202 5.2202 5.2202 Ni
5.2202 5.2202 2.5929 Br
5.2202 2.5929 5.2202 Br
7.8475 5.2202 5.2202 Br
2.5929 5.2202 5.2202 Br
5.2202 7.8475 5.2202 Br
5.2202 5.2202 7.8475 Br
```

Question: Which value of electronic total energy does entry 10 give?
Answer: -31.92 eV/f.u.